# 1
# LiCdH3 | the Alexandria database | PBE-GGA | relaxed
data_LiCdH3
_symmetry_space_group_name_H-M 'P m -3 m'
_symmetry_Int_Tables_number 221
_symmetry_space_group_name_Hall '-P 4 2 3'
_cell_length_a 3.935
_cell_length_b 3.935
_cell_length_c 3.935
_cell_angle_alpha 90.00
_cell_angle_beta 90.00
_cell_angle_gamma 90.00
loop_
_atom_site_label
_atom_site_type_symbol
_atom_site_fract_x
_atom_site_fract_y
_atom_site_fract_z
Li1 Li 0.000 0.000 0.000
Cd1 Cd 0.500 0.500 0.500
H1 H 0.000 0.500 0.500
# Density of states at the Fermi level   0.2 states/eV/cell
# Theoretical density   3.3 g cm⁻³
# Final energy   -2.427 eV/atom
# Total magnetization   0.0 μB per formula unit

=====

# 2
# Li12Cd3H5 | the Alexandria database | PBE-GGA | relaxed
data_Li12Cd3H5
_symmetry_space_group_name_H-M 'I a -3 d'
_symmetry_Int_Tables_number 230
_symmetry_space_group_name_Hall '-I 4bd 2c 3'
_cell_length_a 13.324
_cell_length_b 13.324
_cell_length_c 13.324
_cell_angle_alpha 90.00
_cell_angle_beta 90.00
_cell_angle_gamma 90.00
loop_
_atom_site_label
_atom_site_type_symbol
_atom_site_fract_x
_atom_site_fract_y
_atom_site_fract_z
Li1 Li 0.042 0.146 0.953
Cd1 Cd 0.000 0.250 0.125
H1 H 0.000 0.000 0.000
H2 H 0.000 0.250 0.375
# Density of states at the Fermi level   65.6 states/eV/cell
# Theoretical density   2.4 g cm⁻³
# Final energy   -2.239 eV/atom
# Total magnetization   0.0 μB per formula unit

=====

# 3
# Li2CdH2 | the Alexandria database | PBE-GGA | relaxed
data_Li2CdH2
_symmetry_space_group_name_H-M 'P 4/m b m'
_symmetry_Int_Tables_number 127
_symmetry_space_group_name_Hall '-P 4 2ab'
_cell_length_a 7.029
_cell_length_b 7.029
_cell_length_c 2.736
_cell_angle_alpha 90.00
_cell_angle_beta 90.00
_cell_angle_gamma 90.00
loop_
_atom_site_label
_atom_site_type_symbol
_atom_site_fract_x
_atom_site_fract_y
_atom_site_fract_z
Li1 Li 0.112 0.388 0.000
Cd1 Cd 0.000 0.000 0.000
H1 H 0.114 0.614 0.500
# Density of states at the Fermi level   2.6 states/eV/cell
# Theoretical density   3.2 g cm⁻³
# ΔE to the lowest computed polymorph   268.5 meV/atom
# Total magnetization   0.0 μB per formula unit

=====

# 4
# Li4Cd2H | the Alexandria database | PBE-GGA | relaxed
data_Li4Cd2H
_symmetry_space_group_name_H-M 'I 4/m m m'
_symmetry_Int_Tables_number 139
_symmetry_space_group_name_Hall '-I 4 2'
_cell_length_a 3.810
_cell_length_b 3.810
_cell_length_c 14.854
_cell_angle_alpha 90.00
_cell_angle_beta 90.00
_cell_angle_gamma 90.00
loop_
_atom_site_label
_atom_site_type_symbol
_atom_site_fract_x
_atom_site_fract_y
_atom_site_fract_z
Li1 Li 0.000 0.000 0.130
Li2 Li 0.000 0.500 0.000
Cd1 Cd 0.000 0.000 0.319
H1 H 0.000 0.000 0.000
# Density of states at the Fermi level   5.4 states/eV/cell
# Theoretical density   3.9 g cm⁻³
# Final energy   -2.011 eV/atom
# Total magnetization   0.0 μB per formula unit